# 1
VASP calculation (PBE) on a relaxed Y2MnCo5Si2 crystal.

Cell and atoms, written as POSCAR:
```
Y2MnCo5Si2
1.0
-0.734 3.033 0.826
0.140 -2.454 9.140
9.216 2.115 0.426
Y Mn Co Si
4 2 10 4
direct
0.000 0.677 0.177
0.000 0.323 0.823
0.000 0.177 0.323
0.000 0.823 0.677
0.000 0.000 0.000
0.000 0.500 0.500
0.500 0.213 0.064
0.500 0.787 0.936
0.500 0.064 0.787
0.500 0.713 0.436
0.500 0.936 0.213
0.500 0.287 0.564
0.500 0.564 0.713
0.500 0.436 0.287
0.500 0.500 0.000
0.500 0.000 0.500
0.000 0.121 0.621
0.000 0.879 0.379
0.000 0.621 0.879
0.000 0.379 0.121
```

Properties
Formation energy without anion corrections   -336 meV per atom



# 2
VASP calculation (PBE) on a relaxed Li7Ga2Ag crystal.

Cell and atoms, written as POSCAR:
```
Li7Ga2Ag
1.0
4.552 0.000 0.000
0.000 7.595 -0.630
0.000 -3.916 6.538
Li Ga Ag
7 2 1
direct
0.000 0.794 0.206
0.000 0.206 0.794
0.500 0.069 0.292
0.500 0.931 0.708
0.500 0.292 0.069
0.500 0.708 0.931
0.500 0.500 0.500
0.500 0.705 0.295
0.500 0.295 0.705
0.000 0.000 0.000
```

Properties
Energy above the most stable polymorph in this dataset   0.214 eV/atom
E_form   0.091 eV/atom



# 3
VASP calculation (PBE) on a relaxed GaSbW3 crystal.

Cell and atoms, written as POSCAR:
```
GaSbW3
1.0
-3.314 -0.824 -3.508
2.800 -3.589 -1.802
-2.268 -3.226 2.901
Sb Ga W
1 1 3
direct
0.000 0.000 0.000
0.500 0.500 0.500
0.000 0.500 0.000
0.000 0.000 0.500
0.500 0.000 0.000
```

Properties
Formation energy without anion corrections   2561 meV per atom
Energy above the most stable polymorph in this dataset   0.734 eV/atom



Values for total magnetic moment, μB/f.u., ordered as above
5.23; 0.00; 0.00